# 1
Density functional theory data (PBE) for crystalline CsSrOsO4 at its relaxed geometry.

Cell and atoms, written as POSCAR:
```
CsSrOsO4
1.0
6.591 0.000 0.199
0.000 6.105 0.000
-2.357 0.000 7.543
Os O Cs Sr
2 8 2 2
Cartesian
3.265 1.526 5.080
0.968 4.579 2.662
2.678 1.526 3.379
-0.484 3.340 2.376
1.860 1.526 6.207
2.373 4.579 1.535
1.555 4.579 4.363
4.718 0.288 5.366
-0.484 5.818 2.376
4.718 2.765 5.366
2.599 4.579 7.307
1.635 1.526 0.435
0.032 1.526 4.021
4.201 4.579 3.721
```

Density: 5.15 g/cm3
Formation energy from raw total energies: -1.591 eV per atom

# 2
Density functional theory data (PBE) for crystalline SmBe2IrO8 at its relaxed geometry.

Cell and atoms, written as POSCAR:
```
SmBe2IrO8
1.0
5.131 0.000 0.000
-2.566 4.444 0.000
0.000 0.000 6.375
O Sm Be Ir
8 1 2 1
Cartesian
2.566 1.481 3.300
-1.296 3.711 5.196
1.269 0.733 1.179
3.862 0.733 1.179
1.296 3.711 5.196
2.566 2.978 1.179
0.000 2.962 3.075
0.000 1.465 5.196
0.000 0.000 3.187
0.000 2.962 4.683
2.566 1.481 1.692
0.000 0.000 0.000
```

Density: 5.58 g/cm3
Formation energy from raw total energies: -1.450 eV per atom
DOS at the Fermi energy: 0.38 states/eV/atom

# 3
Density functional theory data (PBE) for crystalline Mg3ScZn at its relaxed geometry.

Cell and atoms, written as POSCAR:
```
Mg3ScZn
1.0
-4.716 -1.735 2.811
3.149 -0.880 4.740
-0.998 5.419 1.670
Mg Zn Sc
3 1 1
Cartesian
-0.499 2.710 0.835
-2.358 -0.867 1.405
1.574 -0.440 2.370
-1.283 1.402 4.610
0.000 0.000 0.000
```

Density: 1.59 g/cm3
ΔH_f (0 K): 98.8 kJ/mol of atoms
DOS at the Fermi energy: 1.33 states/eV/atom
Relative energy among the computed polymorphs: 375.4 kJ/mol of formula units

# 4
Density functional theory data (PBE) for crystalline Ag2SnOsSe at its relaxed geometry.

Cell and atoms, written as POSCAR:
```
Ag2SnOsSe
1.0
5.200 0.000 0.000
0.000 5.200 0.000
0.000 0.000 5.248
Se Sn Ag Os
1 1 2 1
Cartesian
0.000 0.000 2.624
0.000 0.000 0.000
2.600 0.000 0.000
0.000 2.600 0.000
2.600 2.600 2.624
```

Density: 7.06 g/cm3
Formation energy from raw total energies: 1.708 eV per atom
DOS at the Fermi energy: 1.11 states/eV/atom

# 5
Density functional theory data (PBE) for crystalline HfTa2Rh at its relaxed geometry.

Cell and atoms, written as POSCAR:
```
HfTa2Rh
1.0
-1.067 -2.692 7.020
7.058 2.086 1.872
2.073 2.113 5.233
Hf Ta Rh
2 4 2
Cartesian
2.001 -0.441 8.349
0.000 0.000 0.000
6.538 0.977 11.637
4.757 1.396 3.613
4.060 1.433 7.328
0.773 -0.795 5.673
2.996 -0.303 4.446
6.063 1.947 5.776
```

Density: 13.70 g/cm3
ΔH_f (0 K): 20.0 kJ/mol of atoms
DOS at the Fermi energy: 0.89 states/eV/atom

# 6
Density functional theory data (PBE) for crystalline KIn3Ga2 at its relaxed geometry.

Cell and atoms, written as POSCAR:
```
KIn3Ga2
1.0
4.633 0.000 -1.261
-0.999 7.658 -3.672
0.215 -1.032 9.938
In Ga K
6 4 2
Cartesian
1.451 3.021 5.335
2.399 3.605 -0.329
2.284 6.712 -0.749
-0.531 5.352 -1.953
1.566 -0.085 5.755
4.381 1.275 6.958
2.324 -0.014 8.542
3.606 1.603 4.109
0.244 5.023 0.896
1.526 6.641 -3.536
0.548 1.438 2.013
3.302 5.189 2.993
```

Density: 5.17 g/cm3
ΔH_f (0 K): -7.4 kJ/mol of atoms
DOS at the Fermi energy: 0.26 states/eV/atom
Relative energy among the computed polymorphs: 0.0 kJ/mol of formula units

# 7
Density functional theory data (PBE) for crystalline NaLaH6Pt2 at its relaxed geometry.

Cell and atoms, written as POSCAR:
```
NaLaH6Pt2
1.0
4.799 0.000 0.000
2.399 4.156 0.000
2.399 1.385 5.328
H Na Pt La
6 1 2 1
Cartesian
6.030 3.481 4.334
4.799 4.192 0.994
4.799 1.349 4.334
3.567 2.060 0.994
6.030 2.060 0.994
3.568 3.482 4.334
4.799 2.771 2.664
7.198 4.156 3.378
2.399 1.385 1.950
0.000 0.000 0.000
```

VASP energy: -41.9 eV for the cell shown
Density: 8.72 g/cm3
DOS at the Fermi energy: 0.09 states/eV/atom

# 8
Density functional theory data (PBE) for crystalline KBa2In2 at its relaxed geometry.

Cell and atoms, written as POSCAR:
```
KBa2In2
1.0
10.038 0.000 0.000
0.000 10.038 0.000
0.000 0.000 4.341
K Ba In
2 4 4
Cartesian
5.019 5.019 0.000
0.000 0.000 0.000
6.782 8.275 2.171
8.275 3.256 2.171
1.763 6.782 2.171
3.256 1.763 2.171
8.892 6.165 0.000
1.146 3.873 0.000
3.873 8.892 0.000
6.165 1.146 0.000
```

Density: 4.13 g/cm3
ΔH_f (0 K): -23.6 kJ/mol of atoms
DOS at the Fermi energy: 1.25 states/eV/atom
Relative energy among the computed polymorphs: 0.0 kJ/mol of formula units